# PBE Ba2CeAuO5, optimized geometry
# * calculated volume: 319.0 Å³/cell
# * E_form (uncorrected): -2.21 eV/atom
data_Ba2CeAuO5
_chemical_formula_sum 'Ba4 Ce2 Au2 O10'
_symmetry_space_group_name_H-M 'P 1'
_symmetry_Int_Tables_number 1
_symmetry_space_group_name_Hall 'P 1'
_cell_length_a 3.5681
_cell_length_b 8.2083
_cell_length_c 11.1590
_cell_angle_alpha 90.00
_cell_angle_beta 90.00
_cell_angle_gamma 102.55
loop_
_atom_site_label
_atom_site_type_symbol
_atom_site_fract_x
_atom_site_fract_y
_atom_site_fract_z
Ba1 Ba 0.1271 0.2542 0.3066
Au1 Au 0.5341 0.0682 0.9624
O1 O 0.5002 0.0003 0.7844
Ba2 Ba 0.8878 0.7755 0.1834
O2 O 0.7039 0.4078 0.8749
O3 O 0.2863 0.5727 0.6346
O4 O 0.3424 0.6848 0.0022
O5 O 0.7137 0.4273 0.1346
Au2 Au 0.4659 0.9318 0.4624
O6 O 0.9404 0.8807 0.5698
Ba3 Ba 0.8729 0.7458 0.8066
O7 O 0.6576 0.3152 0.5022
Ce1 Ce 0.2086 0.4173 0.0056
Ba4 Ba 0.1122 0.2245 0.6834
O8 O 0.4998 0.9997 0.2844
O9 O 0.0596 0.1193 0.0698
O10 O 0.2961 0.5922 0.3749
Ce2 Ce 0.7914 0.5827 0.5056